a.
Entry from Alexandria via LeMat-Bulk: BaBe2InBi after structural relaxation (PBE).

Unit cell a=5.7674 b=6.4831 c=5.7674 alpha=90.00 beta=90.00 gamma=90.00
Closest atoms and distances in Å follow each position.
Sites, in units of the cell vectors:
1 Be 0.0000 0.0000 0.5000  2 Ba 2.88
2 Be 0.5000 0.0000 0.0000  2 Ba 2.88
3 In 0.5000 0.5000 0.5000  4 Bi 4.08, 8 Be 4.34
4 Bi 0.0000 0.5000 0.0000  2 Ba 3.24
5 Ba 0.0000 0.0000 0.0000  4 Be 2.88

Properties
- Fermi-level density of states (states/eV/f.u.) = 4.71
- volume (Å³ per cell) = 215.6
- spin magnetization (μB per formula unit) = 0.0
- space-group type = P4/mmm, No. 123
- crystal system = tetragonal



b.
Entry from Alexandria via LeMat-Bulk: BaBe2InBi after structural relaxation (PBE).

Unit cell a=4.8469 b=6.2791 c=4.8469 alpha=90.00 beta=90.00 gamma=90.00
Closest atoms and distances in Å follow each position.
Sites, in units of the cell vectors:
1 Be 0.0000 0.0000 0.5000  2 In 2.42
2 Be 0.5000 0.0000 0.0000  2 In 2.42
3 Ba 0.5000 0.5000 0.5000  4 Bi 3.43
4 In 0.0000 0.0000 0.0000  4 Be 2.42
5 Bi 0.0000 0.5000 0.0000  2 In 3.14, 4 Ba 3.43

Properties
- Fermi-level density of states (states/eV/f.u.) = 1.83
- volume (Å³ per cell) = 147.5
- spin magnetization (μB per formula unit) = 0.0
- space-group type = P4/mmm, No. 123
- crystal system = tetragonal



In terms of stability, b leads; the second structure lies 1.033 eV/atom higher.



a.
Entry from Alexandria via LeMat-Bulk: BaBeBr after structural relaxation (PBE).

Unit cell a=4.7867 b=3.9175 c=5.0955 alpha=90.00 beta=110.12 gamma=90.00
Closest atoms and distances in Å follow each position.
Sites, in units of the cell vectors:
1 Br 0.6620 0.0000 0.3972  1 Be 2.19
2 Ba 0.0488 0.5000 0.9962  4 Be 3.35-3.59, 6 Br 3.54-3.75
3 Be 0.3931 0.0000 0.6696  1 Br 2.19

Properties
- Fermi-level density of states (states/eV/f.u.) = 2.17
- volume (Å³ per cell) = 89.7
- spin magnetization (μB per formula unit) = 0.0
- space-group type = Pm, No. 6
- crystal system = monoclinic



b.
Entry from Alexandria via LeMat-Bulk: BaBeBr after structural relaxation (PBE).

Unit cell a=4.7030 b=5.3803 c=5.3859 alpha=76.40 beta=64.18 gamma=64.10
Closest atoms and distances in Å follow each position.
Sites, in units of the cell vectors:
1 Ba 0.0322 0.7036 0.9886  4 Be 3.35-3.52, 4 Br 3.39-3.50
2 Br 0.8785 0.3574 0.6418  1 Be 2.21
3 Be 0.1931 0.0425 0.3287  1 Br 2.21

Properties
- Fermi-level density of states (states/eV/f.u.) = 1.83
- volume (Å³ per cell) = 110.2
- spin magnetization (μB per formula unit) = 0.9
- space-group type = Cm, No. 8
- crystal system = monoclinic



c.
Entry from Alexandria via LeMat-Bulk: BaBeBr after structural relaxation (PBE).

Unit cell a=5.3543 b=5.3543 c=5.3543 alpha=60.00 beta=60.00 gamma=60.00
Closest atoms and distances in Å follow each position.
Sites, in units of the cell vectors:
1 Ba 0.0000 0.0000 0.0000  4 Br 3.28
2 Be 0.5000 0.5000 0.5000  4 Br 3.28
3 Br 0.2500 0.2500 0.2500  4 Ba 3.28, 4 Be 3.28

Properties
- Fermi-level density of states (states/eV/f.u.) = 2.59
- volume (Å³ per cell) = 108.5
- spin magnetization (μB per formula unit) = 0.4
- space-group type = F-43m, No. 216
- crystal system = cubic



d.
Entry from Alexandria via LeMat-Bulk: BaBeBr after structural relaxation (PBE).

Unit cell a=4.6660 b=4.6660 c=6.7478 alpha=90.00 beta=90.00 gamma=120.00
Closest atoms and distances in Å follow each position.
Sites, in units of the cell vectors:
1 Be 0.6667 0.3333 0.2882  3 Ba 3.36
2 Ba 0.0000 0.0000 0.9894  3 Br 3.24, 3 Be 3.36
3 Br 0.3333 0.6667 0.7223  3 Ba 3.24

Properties
- Fermi-level density of states (states/eV/f.u.) = 2.07
- volume (Å³ per cell) = 127.2
- spin magnetization (μB per formula unit) = 0.8
- space-group type = P3m1, No. 156
- crystal system = trigonal



In terms of stability, a leads; the second structure lies 0.035 eV/atom higher.



a.
Entry from Alexandria via LeMat-Bulk: BaBeBr after structural relaxation (PBE).

Unit cell a=5.5657 b=5.5657 c=5.5657 alpha=129.76 beta=129.76 gamma=73.80
Closest atoms and distances in Å follow each position.
Sites, in units of the cell vectors:
1 Ba 0.0081 0.0081 0.0000  5 Be 3.23-3.56, 5 Br 3.45-3.49
2 Br 0.6205 0.6205 0.0000  1 Be 2.22
3 Be 0.3713 0.3713 0.0000  1 Br 2.22

Properties
- Fermi-level density of states (states/eV/f.u.) = 1.95
- volume (Å³ per cell) = 99.4
- spin magnetization (μB per formula unit) = 0.0
- space-group type = I4mm, No. 107
- crystal system = tetragonal



b.
Entry from Alexandria via LeMat-Bulk: BaBeBr after structural relaxation (PBE).

Unit cell a=4.9316 b=4.3136 c=11.9391 alpha=90.00 beta=106.37 gamma=90.00
Closest atoms and distances in Å follow each position.
Sites, in units of the cell vectors:
1 Ba 0.4809 0.5000 0.8598  4 Be 3.30-3.31, 3 Br 3.37-3.47
2 Ba 0.4809 0.0000 0.3598  4 Be 3.30-3.31, 3 Br 3.37-3.47
3 Be 0.9552 0.5000 0.3210  1 Br 2.26
4 Be 0.9552 0.0000 0.8210  1 Br 2.26
5 Br 0.6043 0.5000 0.1519  1 Be 2.26
6 Br 0.6043 0.0000 0.6519  1 Be 2.26

Properties
- Fermi-level density of states (states/eV/f.u.) = 2.34
- volume (Å³ per cell) = 243.7
- spin magnetization (μB per formula unit) = 0.3
- space-group type = Cm, No. 8
- crystal system = monoclinic



In terms of stability, a leads; the second structure lies 0.035 eV/atom higher.



a.
Entry from Alexandria via LeMat-Bulk: Ba2Be2Br after structural relaxation (PBE).

Unit cell a=9.1007 b=9.1007 c=4.1967 alpha=90.00 beta=90.00 gamma=90.00
Closest atoms and distances in Å follow each position.
Sites, in units of the cell vectors:
1 Be 0.4217 0.0783 0.5000  1 Be 2.02
2 Be 0.9217 0.4217 0.5000  1 Be 2.02
3 Be 0.5783 0.9217 0.5000  1 Be 2.02
4 Be 0.0783 0.5783 0.5000  1 Be 2.02
5 Ba 0.1963 0.3037 0.0000  2 Br 3.29, 6 Be 3.44-3.58
6 Ba 0.3037 0.8037 0.0000  2 Br 3.29, 6 Be 3.44-3.58
7 Ba 0.8037 0.6963 0.0000  2 Br 3.29, 6 Be 3.44-3.58
8 Ba 0.6963 0.1963 0.0000  2 Br 3.29, 6 Be 3.44-3.58
9 Br 0.0000 0.0000 0.0000  4 Ba 3.29
10 Br 0.5000 0.5000 0.0000  4 Ba 3.29

Properties
- Fermi-level density of states (states/eV/f.u.) = 3.42
- volume (Å³ per cell) = 347.6
- spin magnetization (μB per formula unit) = 0.0
- space-group type = P4/mbm, No. 127
- crystal system = tetragonal



b.
Entry from Alexandria via LeMat-Bulk: Ba2Be2Br after structural relaxation (PBE).

Unit cell a=3.8427 b=3.8427 c=10.2698 alpha=79.22 beta=79.22 gamma=90.00
Closest atoms and distances in Å follow each position.
Sites, in units of the cell vectors:
1 Br 0.0000 0.0000 0.0000  8 Ba 3.56, 4 Br 3.84
2 Ba 0.6159 0.6159 0.7682  4 Be 3.28, 4 Br 3.56
3 Ba 0.3841 0.3841 0.2318  4 Be 3.28, 4 Br 3.56
4 Be 0.7500 0.2500 0.5000  4 Be 2.72
5 Be 0.2500 0.7500 0.5000  4 Be 2.72

Properties
- Fermi-level density of states (states/eV/f.u.) = 5.57
- volume (Å³ per cell) = 146.2
- spin magnetization (μB per formula unit) = 0.0
- space-group type = I4/mmm, No. 139
- crystal system = tetragonal



In terms of stability, a leads; the second structure lies 0.096 eV/atom higher.



a.
Entry from Alexandria via LeMat-Bulk: BaBeSeBr2 after structural relaxation (PBE).

Unit cell a=6.2822 b=6.2822 c=6.6765 alpha=90.00 beta=90.00 gamma=90.00
Closest atoms and distances in Å follow each position.
Sites, in units of the cell vectors:
1 Br 0.0000 0.5000 0.0000  2 Ba 3.14
2 Br 0.5000 0.0000 0.0000  2 Ba 3.14
3 Be 0.5000 0.5000 0.5000  4 Se 4.44, 8 Br 4.58
4 Se 0.0000 0.0000 0.5000  2 Ba 3.34
5 Ba 0.0000 0.0000 0.0000  4 Br 3.14, 2 Se 3.34

Properties
- Fermi-level density of states (states/eV/f.u.) = 5.11
- volume (Å³ per cell) = 263.5
- spin magnetization (μB per formula unit) = 2.0
- space-group type = P4/mmm, No. 123
- crystal system = tetragonal



b.
Entry from Alexandria via LeMat-Bulk: BaBeSeBr2 after structural relaxation (PBE).

Unit cell a=5.1013 b=5.1013 c=4.8557 alpha=90.00 beta=90.00 gamma=90.00
Closest atoms and distances in Å follow each position.
Sites, in units of the cell vectors:
1 Br 0.0000 0.5000 0.0000  2 Be 2.55
2 Br 0.5000 0.0000 0.0000  2 Be 2.55
3 Se 0.0000 0.0000 0.5000  2 Be 2.43
4 Ba 0.5000 0.5000 0.5000  8 Br 3.52, 4 Se 3.61
5 Be 0.0000 0.0000 0.0000  2 Se 2.43, 4 Br 2.55

Properties
- Fermi-level density of states (states/eV/f.u.) = 0.18
- volume (Å³ per cell) = 126.4
- spin magnetization (μB per formula unit) = 0.0
- space-group type = P4/mmm, No. 123
- crystal system = tetragonal



In terms of stability, b leads; the second structure lies 1.133 eV/atom higher.



a.
Entry from Alexandria via LeMat-Bulk: Ba2BeC after structural relaxation (PBE).

Unit cell a=8.0727 b=8.0727 c=7.0304 alpha=54.96 beta=54.96 gamma=90.00
Closest atoms and distances in Å follow each position.
Sites, in units of the cell vectors:
1 Ba 0.0583 0.6250 0.2500  2 C 2.70
2 Ba 0.3750 0.3083 0.7500  2 C 2.70
3 Ba 0.6917 0.1250 0.2500  2 C 2.70
4 Ba 0.8750 0.9417 0.7500  2 C 2.70
5 C 0.0000 0.0000 0.0000  4 Ba 2.70
6 C 0.7500 0.2500 0.5000  4 Ba 2.70
7 Be 0.5000 0.5000 0.0000  4 Ba 3.41
8 Be 0.2500 0.7500 0.5000  4 Ba 3.41

Properties
- Fermi-level density of states (states/eV/f.u.) = 3.86
- volume (Å³ per cell) = 267.4
- spin magnetization (μB per formula unit) = 1.6
- space-group type = I-42d, No. 122
- crystal system = tetragonal



b.
Entry from Alexandria via LeMat-Bulk: Ba2BeC after structural relaxation (PBE).

Unit cell a=5.2782 b=5.2782 c=5.2782 alpha=60.00 beta=60.00 gamma=60.00
Closest atoms and distances in Å follow each position.
Sites, in units of the cell vectors:
1 Ba 0.7500 0.7500 0.7500  4 C 3.23, 4 Be 3.23
2 Ba 0.2500 0.2500 0.2500  4 Be 3.23, 4 C 3.23
3 Be 0.0000 0.0000 0.0000  8 Ba 3.23
4 C 0.5000 0.5000 0.5000  8 Ba 3.23

Properties
- Fermi-level density of states (states/eV/f.u.) = 0.27
- volume (Å³ per cell) = 104.0
- spin magnetization (μB per formula unit) = 0.0
- space-group type = Fm-3m, No. 225
- crystal system = cubic



In terms of stability, b leads; the second structure lies 0.078 eV/atom higher.